# CeHoP2 GGA-PBE optimized geometry
data_CeHoP2
_cell_length_a 6.978
_cell_length_b 6.978
_cell_length_c 6.978
_cell_angle_alpha 33.66
_cell_angle_beta 33.66
_cell_angle_gamma 33.66
_space_group_name_H-M_alt 'P 1'
_space_group_IT_number 1
loop_
_space_group_symop_operation_xyz
'x,y,z'
loop_
_atom_site_label
_atom_site_fract_x
_atom_site_fract_y
_atom_site_fract_z
Ce1 0.000 0.000 0.000
Ho1 0.500 0.500 0.500
P1 0.249 0.249 0.249
P2 0.751 0.751 0.751
# Raw total energy: -6.891 eV/atom
# Space-group type: No. 166
# Energy above the lowest structure with this stoichiometry: 0.00 eV per formula unit
# Magnetic moment: 0.50 μB/cell

=====

# LiZrPd2 GGA-PBE optimized geometry
data_LiZrPd2
_cell_length_a 5.680
_cell_length_b 5.680
_cell_length_c 5.680
_cell_angle_alpha 104.46
_cell_angle_beta 104.46
_cell_angle_gamma 120.04
_space_group_name_H-M_alt 'P 1'
_space_group_IT_number 1
loop_
_space_group_symop_operation_xyz
'x,y,z'
loop_
_atom_site_label
_atom_site_fract_x
_atom_site_fract_y
_atom_site_fract_z
Li1 0.000 0.000 0.000
Li2 0.750 0.250 0.500
Zr1 0.250 0.750 0.500
Zr2 0.500 0.500 0.000
Pd1 0.102 0.625 0.977
Pd2 0.375 0.352 0.477
Pd3 0.648 0.125 0.023
Pd4 0.875 0.898 0.523
# Raw total energy: -5.489 eV/atom
# Space-group type: No. 122
# Magnetic moment: 0.00 μB/cell

=====

# PaGe2Pb GGA-PBE optimized geometry
data_PaGe2Pb
_cell_length_a 5.090
_cell_length_b 5.090
_cell_length_c 5.090
_cell_angle_alpha 60.44
_cell_angle_beta 60.44
_cell_angle_gamma 60.44
_space_group_name_H-M_alt 'P 1'
_space_group_IT_number 1
loop_
_space_group_symop_operation_xyz
'x,y,z'
loop_
_atom_site_label
_atom_site_fract_x
_atom_site_fract_y
_atom_site_fract_z
Pa1 0.000 0.000 0.000
Ge1 0.250 0.250 0.250
Ge2 0.750 0.750 0.750
Pb1 0.500 0.500 0.500
# Raw total energy: -5.531 eV/atom
# Space-group type: No. 166
# Energy above the lowest structure with this stoichiometry: 1.30 eV per formula unit
# Magnetic moment: 0.57 μB/cell